## i
LiAl4Zn2O8 | PBE-GGA | optimized geometry

Geometry as POSCAR:
```
LiAl4Zn2O8
1.0
-2.877 2.924 4.445
2.877 -2.924 4.445
2.877 2.924 -4.445
Al O Zn Li
4 8 2 1
direct
0.147 0.147 0.000 Al
0.741 0.484 0.257 Al
0.227 0.484 0.743 Al
0.338 0.838 0.500 Al
0.465 0.699 0.234 O
0.018 0.267 0.751 O
0.009 0.750 0.741 O
0.517 0.267 0.249 O
0.009 0.268 0.259 O
0.465 0.232 0.766 O
0.477 0.718 0.758 O
0.960 0.718 0.242 O
0.689 0.408 0.720 Zn
0.689 0.969 0.280 Zn
0.875 0.875 0.000 Li
```

Results
DOS(E_F): 0.08 states/eV per atom
magnetic moment: 0.00 μB/cell



## ii
LiAl4Zn2O8 | PBE-GGA | optimized geometry

Geometry as POSCAR:
```
LiAl4Zn2O8
1.0
3.389 -3.685 -2.780
4.781 -1.846 2.554
0.037 -5.630 1.931
O Al Zn Li
8 4 2 1
direct
0.739 0.272 0.247 O
0.279 0.279 0.700 O
0.738 0.738 0.798 O
0.272 0.739 0.247 O
0.728 0.261 0.753 O
0.261 0.728 0.753 O
0.262 0.262 0.202 O
0.721 0.721 0.300 O
0.500 0.500 0.000 Al
0.500 0.500 0.500 Al
0.137 0.137 0.050 Al
0.863 0.863 0.950 Al
0.000 0.500 0.500 Zn
0.500 0.000 0.500 Zn
0.000 0.000 0.500 Li
```

Results
DOS(E_F): 0.12 states/eV per atom
magnetic moment: 0.54 μB/cell



If we sort the structures by their calculated energies, the order from most to least stable is i, ii.